Record 1
A relaxed structure of LiLuAsO. Source: OQMD via LeMat-Bulk, functional PBE-GGA.

Results
For the total magnetization, the calculation gives 0.00 μB/cell. The space group is P4/nmm. Its energy above the most stable polymorph in this dataset is 559 meV/atom. For the density, the calculation gives 6647 kg/m³.

```
LiLuAsO
1.0
5.485 0.000 0.000
0.000 5.485 0.000
0.000 0.000 4.531
Li Lu As O
2 2 2 2
Cartesian
1.371 1.371 0.015
4.114 4.114 4.517
1.371 4.114 2.266
4.114 1.371 2.266
1.371 1.371 2.278
4.114 4.114 2.253
1.371 4.114 0.000
4.114 1.371 0.000
```


Record 2
A relaxed structure of LiLuAsO. Source: OQMD via LeMat-Bulk, functional PBE-GGA.

Results
For the total magnetization, the calculation gives 2.13 μB/cell. The space group is P4/nmm. Its energy above the most stable polymorph in this dataset is 1300 meV/atom. For the density, the calculation gives 5246 kg/m³.

```
LiLuAsO
1.0
4.672 0.000 0.000
0.000 4.672 0.000
0.000 0.000 7.915
Li Lu As O
2 2 2 2
Cartesian
1.168 1.168 0.098
3.504 3.504 7.817
1.168 3.504 3.957
3.504 1.168 3.957
1.168 1.168 5.360
3.504 3.504 2.555
1.168 3.504 0.000
3.504 1.168 0.000
```


Record 3
A relaxed structure of LiMgNiAs. Source: OQMD via LeMat-Bulk, functional PBE-GGA.

Results
For the total magnetization, the calculation gives 0.01 μB/cell. The space group is F-43m. Its energy above the most stable polymorph in this dataset is 174 meV/atom. For the density, the calculation gives 4707 kg/m³.

```
LiMgNiAs
1.0
0.000 3.075 3.075
3.075 0.000 3.075
3.075 3.075 0.000
Li Mg Ni As
1 1 1 1
Cartesian
0.000 0.000 0.000
3.075 3.075 3.075
4.613 4.613 4.613
1.538 1.538 1.538
```


Record 4
A relaxed structure of LiMgNi2As2. Source: OQMD via LeMat-Bulk, functional PBE-GGA.

Results
For the total magnetization, the calculation gives 0.01 μB/cell. The calculation puts the total DFT energy (no corrections) at -26.913 eV for the cell shown. The space group is P4mm. For the density, the calculation gives 5493 kg/m³.

```
LiMgNi2As2
1.0
3.858 0.000 0.000
0.000 3.858 0.000
0.000 0.000 6.062
Li Mg Ni As
1 1 2 2
Cartesian
0.000 0.000 0.000
1.929 1.929 2.153
0.000 1.929 4.146
1.929 0.000 4.146
0.000 0.000 2.683
1.929 1.929 5.570
```


Record 5
A relaxed structure of LiMgNiAs. Source: OQMD via LeMat-Bulk, functional PBE-GGA.

Results
For the total magnetization, the calculation gives 0.00 μB/cell. The space group is F-43m. Its energy above the most stable polymorph in this dataset is 0 meV/atom. For the density, the calculation gives 4980 kg/m³.

```
LiMgNiAs
1.0
0.000 3.018 3.018
3.018 0.000 3.018
3.018 3.018 0.000
Li Mg Ni As
1 1 1 1
Cartesian
0.000 0.000 0.000
1.509 1.509 1.509
3.018 3.018 3.018
4.527 4.527 4.527
```


Record 6
A relaxed structure of LiMgZnAs. Source: OQMD via LeMat-Bulk, functional PBE-GGA.

Results
The space group is F-43m. Its energy above the most stable polymorph in this dataset is 172 meV/atom. For the density, the calculation gives 3997 kg/m³.

```
LiMgZnAs
1.0
0.000 3.291 3.291
3.291 0.000 3.291
3.291 3.291 0.000
Li Mg Zn As
1 1 1 1
Cartesian
0.000 0.000 0.000
4.936 4.936 4.936
3.291 3.291 3.291
1.645 1.645 1.645
```


Record 7
A relaxed structure of LiMgZnAs. Source: OQMD via LeMat-Bulk, functional PBE-GGA.

Results
The space group is F-43m. Its energy above the most stable polymorph in this dataset is 0 meV/atom. For the density, the calculation gives 4059 kg/m³.

```
LiMgZnAs
1.0
0.000 3.274 3.274
3.274 0.000 3.274
3.274 3.274 0.000
Li Mg Zn As
1 1 1 1
Cartesian
0.000 0.000 0.000
3.274 3.274 3.274
1.637 1.637 1.637
4.911 4.911 4.911
```


Record 8
A relaxed structure of Li4MoAs2. Source: OQMD via LeMat-Bulk, functional PBE-GGA.

Results
For the total magnetization, the calculation gives 1.87 μB/cell. The calculation puts the total DFT energy (no corrections) at -30.008 eV for the cell shown. The space group is R-3m. For the density, the calculation gives 4419 kg/m³.

```
Li4MoAs2
1.0
2.078 1.200 6.874
-2.078 1.200 6.874
0.000 -2.399 6.874
Li Mo As
4 1 2
Cartesian
0.000 0.000 1.980
0.000 0.000 7.547
0.000 0.000 13.075
0.000 0.000 18.643
0.000 0.000 10.311
0.000 0.000 4.872
0.000 0.000 15.750
```